(1)
Here is crystalline Pm2DyHo3 at its relaxed geometry from the Alexandria database. Energies are from GGA-PBE.

Values from the calculation:
D(E_F): 16.89 states/eV/cell
excess energy over the best structure of this formula in the dataset: 50 meV per atom
energy of formation: 0.15 eV per atom

The structure in CIF format:
```
data_Pm2DyHo3
_space_group_name_H-M_alt 'P 1'
_space_group_IT_number 1
_cell_length_a 10.304
_cell_length_b 10.304
_cell_length_c 8.093
_cell_angle_alpha 92.35
_cell_angle_beta 92.35
_cell_angle_gamma 28.26
loop_
_space_group_symop_operation_xyz
'x,y,z'
loop_
_atom_site_label
_atom_site_fract_x
_atom_site_fract_y
_atom_site_fract_z
_atom_site_occupancy
Pm1 0.108 0.108 0.430 1
Pm2 0.349 0.349 0.264 1
Pm3 0.651 0.651 0.736 1
Pm4 0.892 0.892 0.570 1
Dy1 0.043 0.043 0.836 1
Dy2 0.957 0.957 0.164 1
Ho1 0.191 0.191 0.047 1
Ho2 0.267 0.267 0.650 1
Ho3 0.424 0.424 0.877 1
Ho4 0.576 0.576 0.123 1
Ho5 0.733 0.733 0.350 1
Ho6 0.809 0.809 0.953 1
```



(2)
Here is crystalline Pm2Dy6Ho at its relaxed geometry from the Alexandria database. Energies are from GGA-PBE.

Values from the calculation:
D(E_F): 27.86 states/eV/cell
energy of formation: 0.11 eV per atom

The structure in CIF format:
```
data_Pm2Dy6Ho
_space_group_name_H-M_alt 'P 1'
_space_group_IT_number 1
_cell_length_a 10.324
_cell_length_b 10.324
_cell_length_c 6.168
_cell_angle_alpha 91.86
_cell_angle_beta 91.86
_cell_angle_gamma 118.26
loop_
_space_group_symop_operation_xyz
'x,y,z'
loop_
_atom_site_label
_atom_site_fract_x
_atom_site_fract_y
_atom_site_fract_z
_atom_site_occupancy
Pm1 0.159 0.336 0.015 1
Pm2 0.336 0.159 0.515 1
Pm3 0.664 0.841 0.485 1
Pm4 0.841 0.664 0.985 1
Dy1 0.006 0.825 0.493 1
Dy2 0.092 0.576 0.742 1
Dy3 0.175 0.994 0.007 1
Dy4 0.338 0.491 0.509 1
Dy5 0.424 0.908 0.758 1
Dy6 0.491 0.338 0.009 1
Dy7 0.509 0.662 0.991 1
Dy8 0.576 0.092 0.242 1
Dy9 0.662 0.509 0.491 1
Dy10 0.825 0.006 0.993 1
Dy11 0.908 0.424 0.258 1
Dy12 0.994 0.175 0.507 1
Ho1 0.262 0.738 0.250 1
Ho2 0.738 0.262 0.750 1
```



Repeat the first record exactly.
Here is crystalline Pm2DyHo3 at its relaxed geometry from the Alexandria database. Energies are from GGA-PBE.

Values from the calculation:
D(E_F): 16.89 states/eV/cell
excess energy over the best structure of this formula in the dataset: 50 meV per atom
energy of formation: 0.15 eV per atom

The structure in CIF format:
```
data_Pm2DyHo3
_space_group_name_H-M_alt 'P 1'
_space_group_IT_number 1
_cell_length_a 10.304
_cell_length_b 10.304
_cell_length_c 8.093
_cell_angle_alpha 92.35
_cell_angle_beta 92.35
_cell_angle_gamma 28.26
loop_
_space_group_symop_operation_xyz
'x,y,z'
loop_
_atom_site_label
_atom_site_fract_x
_atom_site_fract_y
_atom_site_fract_z
_atom_site_occupancy
Pm1 0.108 0.108 0.430 1
Pm2 0.349 0.349 0.264 1
Pm3 0.651 0.651 0.736 1
Pm4 0.892 0.892 0.570 1
Dy1 0.043 0.043 0.836 1
Dy2 0.957 0.957 0.164 1
Ho1 0.191 0.191 0.047 1
Ho2 0.267 0.267 0.650 1
Ho3 0.424 0.424 0.877 1
Ho4 0.576 0.576 0.123 1
Ho5 0.733 0.733 0.350 1
Ho6 0.809 0.809 0.953 1
```



Which formula does entry 1 have? Pm2DyHo3



Among the records above, which one has the highest energy of formation? Pm2DyHo3



D(E_F) of number 1 (Pm2DyHo3)? 16.89 states/eV/cell